Compound: AlIn4Si
Source: the Alexandria database
Functional: meta-GGA SCAN
Structure: single point on PBEsol structure

abc: 8.3632 8.3632 8.3632
angles: 90.00 90.00 90.00
Space group F-43m (No. 216)
Inequivalent atoms, fractional coordinates:
Al 0.0000 0.0000 0.0000 (multiplicity 4)
In 0.1249 0.1249 0.3751 (multiplicity 16)
Si 0.2500 0.2500 0.7500 (multiplicity 4)

Summary:
DOS(E_F) = 0.5692 states/eV/atom
E_form (uncorrected) = 0.6140 eV/atom